(1)
Density functional theory data (PBE-GGA) for an optimized crystal structure of CoNi12.

## Properties
- size of the total moment (μB/cell) = 26.552
- ΔH_f (0 K) (eV per atom) = 0.162

Unit cell a=4.5825 b=4.5825 c=24.0416 alpha=90.00 beta=90.00 gamma=120.00
Space group R-3m (No. 166, hexagonal axes)
Symmetry-distinct sites (fractional):
Co1 0.0000 0.0000 0.0000 [3 per cell]
Ni1 0.0000 0.0000 0.1652 [6 per cell]
Ni2 0.0000 0.0000 0.3482 [6 per cell]
Ni3 0.0000 0.0000 0.4525 [6 per cell]
Ni4 0.0034 0.5017 0.4124 [18 per cell]

(2)
Density functional theory data (PBE-GGA) for an optimized crystal structure of LuScRe2.

## Properties
- size of the total moment (μB/cell) = 0.059
- ΔH_f (0 K) (eV per atom) = 0.120

Unit cell a=6.5680 b=6.5680 c=6.5680 alpha=90.00 beta=90.00 gamma=90.00
Space group F-43m (No. 216)
Symmetry-distinct sites (fractional):
Lu1 0.0000 0.0000 0.0000 [4 per cell]
Sc1 0.2500 0.2500 0.7500 [4 per cell]
Re1 0.0000 0.0000 0.5000 [4 per cell]
Re2 0.2500 0.2500 0.2500 [4 per cell]

(3)
Density functional theory data (PBE-GGA) for an optimized crystal structure of ErOsNO.

## Properties
- size of the total moment (μB/cell) = 0.001
- energy relative to the lowest polymorph listed for this composition (eV per formula unit) = 0.679

Unit cell a=3.8052 b=3.8052 c=7.4308 alpha=90.00 beta=90.00 gamma=90.00
Space group P4/nmm (No. 129, origin choice 2)
Symmetry-distinct sites (fractional):
Er1 0.2500 0.2500 0.1469 [2 per cell]
Os1 0.2500 0.7500 0.5000 [2 per cell]
N1 0.2500 0.2500 0.6278 [2 per cell]
O1 0.2500 0.7500 0.0000 [2 per cell]

(4)
Density functional theory data (PBE-GGA) for an optimized crystal structure of Dy3Y3Te2Os.

## Properties
- size of the total moment (μB/cell) = 0.001
- energy relative to the lowest polymorph listed for this composition (eV per formula unit) = 0.182

Unit cell a=8.3210 b=8.3210 c=4.0523 alpha=90.00 beta=90.00 gamma=120.00
Space group P-62m (No. 189)
Symmetry-distinct sites (fractional):
Dy1 0.0000 0.3916 0.0000 [3 per cell]
Y1 0.0000 0.7597 0.5000 [3 per cell]
Te1 0.3333 0.6667 0.5000 [2 per cell]
Os1 0.0000 0.0000 0.0000 [1 per cell]

(5)
Density functional theory data (PBE-GGA) for an optimized crystal structure of LiBeNiPb.

## Properties
- size of the total moment (μB/cell) = 0.008
- energy relative to the lowest polymorph listed for this composition (eV per formula unit) = 0.000

Unit cell a=6.0635 b=6.0635 c=6.0635 alpha=90.00 beta=90.00 gamma=90.00
Space group F-43m (No. 216)
Symmetry-distinct sites (fractional):
Li1 0.0000 0.0000 0.0000 [4 per cell]
Be1 0.2500 0.2500 0.2500 [4 per cell]
Ni1 0.0000 0.0000 0.5000 [4 per cell]
Pb1 0.2500 0.2500 0.7500 [4 per cell]

(6)
Density functional theory data (PBE-GGA) for an optimized crystal structure of SrBi2Au2.

Unit cell a=4.8315 b=4.8315 c=12.6710 alpha=90.00 beta=90.00 gamma=90.00
Space group I4/mmm (No. 139)
Symmetry-distinct sites (fractional):
Sr1 0.0000 0.0000 0.0000 [2 per cell]
Bi1 0.0000 0.0000 0.3769 [4 per cell]
Au1 0.0000 0.5000 0.2500 [4 per cell]

(7)
Density functional theory data (PBE-GGA) for an optimized crystal structure of Be4Au.

Unit cell a=3.6722 b=11.5110 c=4.8073 alpha=90.00 beta=90.00 gamma=90.00
Space group Cmcm (No. 63)
Symmetry-distinct sites (fractional):
Be1 0.0000 0.0000 0.0000 [4 per cell]
Be2 0.0000 0.1947 0.0182 [8 per cell]
Be3 0.0000 0.3976 0.7500 [4 per cell]
Au1 0.0000 0.3811 0.2500 [4 per cell]

(8)
Density functional theory data (PBE-GGA) for an optimized crystal structure of TbTlF2.

## Properties
- size of the total moment (μB/cell) = 0.009

Unit cell a=8.4638 b=5.9643 c=6.5686 alpha=90.00 beta=90.00 gamma=90.00
Space group Cmcm (No. 63)
Symmetry-distinct sites (fractional):
Tb1 0.0000 0.0000 0.0000 [4 per cell]
Tl1 0.0000 0.4933 0.2500 [4 per cell]
F1 0.1793 0.0148 0.7500 [8 per cell]

(9)
Density functional theory data (PBE-GGA) for an optimized crystal structure of BaCdNiSn2.

## Properties
- size of the total moment (μB/cell) = 0.004

Unit cell a=4.7413 b=4.7413 c=11.3363 alpha=90.00 beta=90.00 gamma=90.00
Space group P4/nmm (No. 129, origin choice 2)
Symmetry-distinct sites (fractional):
Ba1 0.2500 0.2500 0.2387 [2 per cell]
Cd1 0.2500 0.7500 0.5000 [2 per cell]
Ni1 0.2500 0.2500 0.8924 [2 per cell]
Sn1 0.2500 0.2500 0.6642 [2 per cell]
Sn2 0.2500 0.7500 0.0000 [2 per cell]

(10)
Density functional theory data (PBE-GGA) for an optimized crystal structure of Tm2AgS3.

## Properties
- size of the total moment (μB/cell) = 0.325
- energy relative to the lowest polymorph listed for this composition (eV per formula unit) = 0.000

Unit cell a=8.5640 b=3.7309 c=15.3477 alpha=90.00 beta=90.00 gamma=90.00
Space group Pnma (No. 62)
Symmetry-distinct sites (fractional):
Tm1 0.1239 0.2500 0.2120 [4 per cell]
Tm2 0.1652 0.2500 0.9435 [4 per cell]
Ag1 0.0560 0.2500 0.5680 [4 per cell]
S1 0.1162 0.2500 0.7650 [4 per cell]
S2 0.1347 0.2500 0.3866 [4 per cell]
S3 0.1481 0.7500 0.0761 [4 per cell]

(11)
Density functional theory data (PBE-GGA) for an optimized crystal structure of SrPrSi4.

## Properties
- size of the total moment (μB/cell) = 0.003

Unit cell a=4.4048 b=4.4048 c=13.5891 alpha=90.00 beta=90.00 gamma=90.00
Space group I-4m2 (No. 119)
Symmetry-distinct sites (fractional):
Sr1 0.0000 0.0000 0.0000 [2 per cell]
Pr1 0.0000 0.5000 0.7500 [2 per cell]
Si1 0.0000 0.0000 0.4124 [4 per cell]
Si2 0.0000 0.5000 0.1655 [4 per cell]

(12)
Density functional theory data (PBE-GGA) for an optimized crystal structure of HoSi2Ni10.

## Properties
- size of the total moment (μB/cell) = 0.033

Unit cell a=8.1455 b=8.1455 c=4.6654 alpha=90.00 beta=90.00 gamma=90.00
Space group P4/nmm (No. 129, origin choice 2)
Symmetry-distinct sites (fractional):
Ho1 0.2500 0.2500 0.2231 [2 per cell]
Si1 0.0000 0.0000 0.5000 [4 per cell]
Ni1 0.0000 0.0000 0.0000 [4 per cell]
Ni2 0.0272 0.2500 0.7303 [8 per cell]
Ni3 0.1028 0.7500 0.7606 [8 per cell]

Number 1: electronic total energy -5.52 eV per atom. Number 2: electronic total energy -8.80 eV per atom. Number 3: electronic total energy -8.56 eV per atom. Number 4: electronic total energy -6.34 eV per atom. Number 5: electronic total energy -3.64 eV per atom. Number 6: electronic total energy -3.59 eV per atom. Number 7: electronic total energy -3.68 eV per atom. Number 8: electronic total energy -5.05 eV per atom. Number 9: electronic total energy -3.72 eV per atom. Number 10: electronic total energy -5.44 eV per atom. Number 11: electronic total energy -5.18 eV per atom. Number 12: electronic total energy -5.92 eV per atom.